This record from Alexandria describes a PBEsol-optimized structure of ScReP2N. The functional is SCAN.

Cell and atoms, written as POSCAR:
```
ScReP2N
1.0
-1.5881 1.0652 -3.2336
-0.5850 -4.1681 -1.0857
-3.8956 0.0446 1.9279
Sc Re N P
1 1 1 2
Direct
0.5000 0.5000 0.5000
0.5000 0.0000 0.0000
0.0000 0.0000 0.0000
0.0000 0.0000 0.5000
0.0000 0.5000 0.0000
```

Results
DOS(E_F) = 2.34 states/eV/f.u.
DFT total energy = -22.930 eV/atom

***

This record from Alexandria describes a PBEsol-optimized structure of NdB6. The functional is SCAN.

Cell and atoms, written as POSCAR:
```
NdB6
1.0
-3.2512 1.7923 1.7680
-2.2645 -0.8202 -3.3328
-1.1001 -3.6088 1.6355
B Nd
6 1
Direct
0.8004 0.5000 0.5000
0.1996 0.5000 0.5000
0.5000 0.5000 0.8004
0.5000 0.5000 0.1996
0.5000 0.1996 0.5000
0.5000 0.8004 0.5000
0.0000 0.0000 0.0000
```

Results
DOS(E_F) = 0.81 states/eV/f.u.
energy of formation = -0.550 eV per atom
DFT total energy = -13.144 eV/atom

***

This record from Alexandria describes a PBEsol-optimized structure of RbMgSn2Os. The functional is SCAN.

Cell and atoms, written as POSCAR:
```
RbMgSn2Os
1.0
5.1333 0.0000 0.0000
0.0000 5.1333 0.0000
0.0000 0.0000 5.2010
Mg Os Sn Rb
1 1 2 1
Direct
0.0000 0.0000 0.5000
0.0000 0.0000 0.0000
0.0000 0.5000 0.0000
0.5000 0.0000 0.0000
0.5000 0.5000 0.5000
```

Results
DOS(E_F) = 3.33 states/eV/f.u.
energy of formation = -0.024 eV per atom
DFT total energy = -33.911 eV/atom

***

This record from Alexandria describes a PBEsol-optimized structure of AlSi2Ru. The functional is SCAN.

Cell and atoms, written as POSCAR:
```
AlSi2Ru
1.0
2.9205 0.0000 0.0000
1.4602 2.5292 0.0000
1.4602 0.8431 7.6288
Ru Si Al
1 2 1
Direct
0.0000 0.0000 0.0000
0.2558 0.2558 0.2327
0.7442 0.7442 0.7673
0.5000 0.5000 0.5000
```

Results
DOS(E_F) = 1.53 states/eV/f.u.
DFT total energy = -15.795 eV/atom

***

This record from Alexandria describes a PBEsol-optimized structure of NaSi2Pt2. The functional is SCAN.

Cell and atoms, written as POSCAR:
```
NaSi2Pt2
1.0
-3.8824 1.1860 0.4814
-0.0894 -1.7849 3.6766
3.6104 4.7285 0.1107
Na Si Pt
1 2 2
Direct
0.0000 0.0000 0.0000
0.2500 0.7500 0.5000
0.7500 0.2500 0.5000
0.3694 0.3694 0.7388
0.6306 0.6306 0.2612
```

Results
DOS(E_F) = 1.90 states/eV/f.u.
DFT total energy = -33.623 eV/atom

***

This record from Alexandria describes a PBEsol-optimized structure of Ba2YTlCo2O7. The functional is SCAN.

Cell and atoms, written as POSCAR:
```
Ba2YTlCo2O7
1.0
5.3696 0.0000 0.0000
0.0000 5.3706 0.0000
0.0000 0.0000 12.6406
Ba Y Tl Co O
4 2 2 4 14
Direct
0.4990 0.2507 0.2089
0.9990 0.7493 0.2089
0.4990 0.2507 0.7911
0.9990 0.7493 0.7911
0.4973 0.2499 0.5000
0.9973 0.7501 0.5000
0.9694 0.2206 0.0000
0.4694 0.7794 0.0000
0.4976 0.7499 0.3955
0.4976 0.7499 0.6045
0.9976 0.2501 0.3955
0.9976 0.2501 0.6045
0.5385 0.2068 0.0000
0.0385 0.7932 0.0000
0.0049 0.2583 0.1656
0.5049 0.7417 0.1656
0.5049 0.7417 0.8344
0.0049 0.2583 0.8344
0.7474 0.0001 0.3874
0.2473 0.5002 0.3878
0.2474 0.9999 0.3874
0.7473 0.4998 0.3878
0.2474 0.9999 0.6126
0.7473 0.4998 0.6122
0.7474 0.0001 0.6126
0.2473 0.5002 0.6122
```

Results
DOS(E_F) = 3.51 states/eV/f.u.
DFT total energy = -21.915 eV/atom

***

Q: Which of these has the highest DFT total energy?
A: NdB6

***

Q: Among the records above, which one has the highest DFT total energy?
A: NdB6

***

Q: Which value of DFT total energy does entry 2 give?
A: -13.144 eV/atom

***

Q: Which value of DFT total energy does entry 4 give?
A: -15.795 eV/atom